First-principles (GGA-PBE) data for TaTl2Cr after structural relaxation, as listed in Alexandria via LeMat-Bulk.

The calculation puts the total moment at 2.82 μB/f.u. The final energy comes out at -23.285 eV per cell. The calculation puts the formation energy at 2.9 eV/f.u. The value obtained for the relative energy among the computed polymorphs is 240 meV/atom.

The space group is P2/m (No. 10) and the conventional cell measures 3.0673, 4.8219 and 5.6112 Å, with angles of 90.00, 93.23 and 90.00 degrees. The distinct sites, in fractional coordinates, are Ta at (0.0000, 0.0000, 0.0000), Tl at (0.3077, 0.5000, 0.7476) and Cr at (0.5000, 0.0000, 0.5000).